VASP calculation (GGA+U) on a geometry-optimized TiMnO2 structure.

a = 5.8825 Å, b = 5.8825 Å, c = 5.8825 Å
α = 133.10°, β = 133.10°, γ = 68.49°
Closest atoms and distances in Å follow each position.
Positions (direct):
1 Ti 0.0000 0.0000 0.0000  4 O 1.98
2 Ti 0.7500 0.2500 0.5000  4 O 1.98
3 Mn 0.2500 0.7500 0.5000  4 O 2.14
4 Mn 0.5000 0.5000 0.0000  4 O 2.14
5 O 0.0942 0.6250 0.9692  2 Ti 1.98, 2 Mn 2.14
6 O 0.3750 0.3442 0.4692  2 Ti 1.98, 2 Mn 2.14
7 O 0.6558 0.1250 0.0308  2 Ti 1.98, 2 Mn 2.14
8 O 0.8750 0.9058 0.5308  2 Ti 1.98, 2 Mn 2.14

E above lowest polymorph (eV/atom): 0.119
Total magnetic moment (Bohr magnetons per cell): 6.43
Space-group type: I-42d, No. 122
Crystal system: tetragonal